(1)
VASP calculation (PBE) on a geometry-optimized K2CaZn structure.

## Properties
SG: P2/m
ΔE_f (eV per formula unit): 1.0

The structure in CIF format:
```
data_K2CaZn
_chemical_formula_sum 'K2 Ca1 Zn1'
_cell_length_a 6.036
_cell_length_b 4.335
_cell_length_c 7.256
_cell_angle_alpha 69.13
_cell_angle_beta 90.00
_cell_angle_gamma 90.00
_space_group_name_H-M_alt 'P 1'
_space_group_IT_number 1
_space_group_name_Hall 'P 1'
loop_
_atom_site_label
_atom_site_fract_x
_atom_site_fract_y
_atom_site_fract_z
Ca1 0.500 0.750 0.750
K1 0.000 0.086 0.027
K2 0.000 0.414 0.473
Zn1 0.500 0.250 0.250
```

(2)
VASP calculation (PBE) on a geometry-optimized Sr3TlCd2Hg6 structure.

## Properties
SG: P-3m1
ΔE_f (eV per formula unit): -3.0

The structure in CIF format:
```
data_Sr3TlCd2Hg6
_chemical_formula_sum 'Sr3 Tl1 Cd2 Hg6'
_cell_length_a 6.433
_cell_length_b 6.433
_cell_length_c 10.069
_cell_angle_alpha 90.00
_cell_angle_beta 90.00
_cell_angle_gamma 120.00
_space_group_name_H-M_alt 'P 1'
_space_group_IT_number 1
_space_group_name_Hall 'P 1'
loop_
_atom_site_label
_atom_site_fract_x
_atom_site_fract_y
_atom_site_fract_z
Sr1 0.333 0.667 0.612
Sr2 0.667 0.333 0.388
Sr3 0.000 0.000 0.000
Tl1 0.000 0.000 0.500
Cd1 0.667 0.333 0.033
Cd2 0.333 0.667 0.967
Hg1 0.645 0.823 0.256
Hg2 0.177 0.355 0.256
Hg3 0.177 0.823 0.256
Hg4 0.823 0.645 0.744
Hg5 0.355 0.177 0.744
Hg6 0.823 0.177 0.744
```

(3)
VASP calculation (PBE) on a geometry-optimized K3SbRh3O8 structure.

## Properties
VASP energy (eV per cell): -85.67
SG: R-3m

The structure in CIF format:
```
data_K3SbRh3O8
_chemical_formula_sum 'K3 Sb1 Rh3 O8'
_cell_length_a 6.433
_cell_length_b 6.436
_cell_length_c 7.137
_cell_angle_alpha 116.81
_cell_angle_beta 90.00
_cell_angle_gamma 119.99
_space_group_name_H-M_alt 'P 1'
_space_group_IT_number 1
_space_group_name_Hall 'P 1'
loop_
_atom_site_label
_atom_site_fract_x
_atom_site_fract_y
_atom_site_fract_z
K1 0.000 0.000 0.000
K2 0.000 0.500 0.000
K3 0.500 0.500 0.000
Sb1 0.000 0.000 0.500
Rh1 0.500 0.000 0.500
Rh2 0.500 0.500 0.500
Rh3 0.000 0.500 0.500
O1 0.280 0.561 0.341
O2 0.720 0.439 0.659
O3 0.783 0.566 0.330
O4 0.217 0.434 0.670
O5 0.783 0.047 0.330
O6 0.217 0.953 0.670
O7 0.264 0.047 0.330
O8 0.736 0.953 0.670
```

(4)
VASP calculation (PBE) on a geometry-optimized Tl2InI2 structure.

## Properties
SG: P4/mbm
Energy relative to the lowest polymorph listed for this composition (meV/atom): 0

The structure in CIF format:
```
data_Tl2InI2
_chemical_formula_sum 'Tl4 In2 I4'
_cell_length_a 9.315
_cell_length_b 9.315
_cell_length_c 4.601
_cell_angle_alpha 90.00
_cell_angle_beta 90.00
_cell_angle_gamma 90.00
_space_group_name_H-M_alt 'P 1'
_space_group_IT_number 1
_space_group_name_Hall 'P 1'
loop_
_atom_site_label
_atom_site_fract_x
_atom_site_fract_y
_atom_site_fract_z
I1 0.345 0.845 0.000
I2 0.845 0.655 0.000
I3 0.655 0.155 0.000
I4 0.155 0.345 0.000
Tl1 0.154 0.654 0.500
Tl2 0.654 0.846 0.500
Tl3 0.846 0.346 0.500
Tl4 0.346 0.154 0.500
In1 0.000 0.000 0.000
In2 0.500 0.500 0.000
```

(5)
VASP calculation (PBE) on a geometry-optimized MgInAu2 structure.

## Properties
SG: I-42d
ΔE_f (eV per formula unit): -0.7

The structure in CIF format:
```
data_MgInAu2
_chemical_formula_sum 'Mg2 In2 Au4'
_cell_length_a 7.735
_cell_length_b 7.735
_cell_length_c 6.170
_cell_angle_alpha 51.19
_cell_angle_beta 51.19
_cell_angle_gamma 90.00
_space_group_name_H-M_alt 'P 1'
_space_group_IT_number 1
_space_group_name_Hall 'P 1'
loop_
_atom_site_label
_atom_site_fract_x
_atom_site_fract_y
_atom_site_fract_z
Mg1 0.500 0.500 0.000
Mg2 0.250 0.750 0.500
Au1 0.616 0.125 0.250
Au2 0.134 0.625 0.250
Au3 0.375 0.384 0.750
Au4 0.875 0.866 0.750
In1 0.000 0.000 0.000
In2 0.750 0.250 0.500
```

(6)
VASP calculation (PBE) on a geometry-optimized LiCeYAl structure.

## Properties
SG: F-43m
ΔE_f (eV per formula unit): -0.5

The structure in CIF format:
```
data_LiCeYAl
_chemical_formula_sum 'Li1 Ce1 Y1 Al1'
_cell_length_a 5.180
_cell_length_b 5.180
_cell_length_c 5.180
_cell_angle_alpha 60.00
_cell_angle_beta 60.00
_cell_angle_gamma 60.00
_space_group_name_H-M_alt 'P 1'
_space_group_IT_number 1
_space_group_name_Hall 'P 1'
loop_
_atom_site_label
_atom_site_fract_x
_atom_site_fract_y
_atom_site_fract_z
Y1 0.500 0.500 0.500
Al1 0.250 0.250 0.250
Ce1 0.000 0.000 0.000
Li1 0.750 0.750 0.750
```